(1)
Computed, not measured: a relaxed structure of Tb2ZnCo2 at the GGA-PBE level of DFT.

Properties
formation enthalpy at 0 K = -132 kJ/mol of formula units
crystal system = monoclinic
raw total energy = -0.3839 Ry per atom
DOS(E_F) = 5.30 states/eV/cell
space group = C2/c, No. 15

Lattice parameters (Å, degrees): 5.439 5.439 7.585 102.81 102.81 58.53
Sites, in units of the cell vectors:
Tb: 0.008 0.702 0.855
Tb: 0.298 0.992 0.645
Tb: 0.702 0.008 0.355
Tb: 0.992 0.298 0.145
Zn: 0.366 0.634 0.250
Zn: 0.634 0.366 0.750
Co: 0.203 0.505 0.492
Co: 0.495 0.797 0.008
Co: 0.505 0.203 0.992
Co: 0.797 0.495 0.508

---

(2)
Computed, not measured: a relaxed structure of CaNpZn2 at the GGA-PBE level of DFT.

Properties
formation enthalpy at 0 K = 30 kJ/mol of formula units
crystal system = tetragonal
raw total energy = -0.3156 Ry per atom
DOS(E_F) = 8.75 states/eV/cell
space group = P4/mmm, No. 123

Lattice parameters (Å, degrees): 5.360 5.360 3.132 90.00 90.00 90.00
Sites, in units of the cell vectors:
Ca: 0.000 0.000 0.000
Np: 0.500 0.500 0.000
Zn: 0.000 0.500 0.500
Zn: 0.500 0.000 0.500

---

(3)
Computed, not measured: a relaxed structure of LiMgAlZn at the GGA-PBE level of DFT.

Properties
formation enthalpy at 0 K = -40 kJ/mol of formula units
crystal system = orthorhombic
raw total energy = -0.1642 Ry per atom
DOS(E_F) = 0.74 states/eV/cell
space group = Pmmm, No. 47

Lattice parameters (Å, degrees): 3.897 4.067 4.297 90.00 90.00 90.00
Sites, in units of the cell vectors:
Li: 0.000 0.000 0.000
Mg: 0.500 0.500 0.000
Al: 0.500 0.000 0.500
Zn: 0.000 0.500 0.500

---

(4)
Computed, not measured: a relaxed structure of HoAg2Au2 at the GGA-PBE level of DFT.

Properties
formation enthalpy at 0 K = -198 kJ/mol of formula units
crystal system = monoclinic
energy above the most stable polymorph in this dataset = 34 meV per atom
raw total energy = -0.2777 Ry per atom
DOS(E_F) = 3.36 states/eV/cell
space group = C2/c, No. 15

Lattice parameters (Å, degrees): 5.755 5.755 7.916 109.83 109.83 54.09
Sites, in units of the cell vectors:
Ho: 0.168 0.832 0.750
Ho: 0.832 0.168 0.250
Ag: 0.226 0.556 0.048
Ag: 0.444 0.774 0.452
Ag: 0.556 0.226 0.548
Ag: 0.774 0.444 0.952
Au: 0.009 0.371 0.646
Au: 0.371 0.009 0.146
Au: 0.629 0.991 0.854
Au: 0.991 0.629 0.354

---

(5)
Computed, not measured: a relaxed structure of Pm6InGe2Se3 at the GGA-PBE level of DFT.

Properties
crystal system = monoclinic
raw total energy = -0.4061 Ry per atom
formation energy (no corrections) = -1281 meV per atom
DOS(E_F) = 5.68 states/eV/cell
space group = C2/m, No. 12

Lattice parameters (Å, degrees): 9.654 9.654 8.640 105.64 105.64 25.46
Sites, in units of the cell vectors:
Pm: 0.000 0.000 0.235
Pm: 0.000 0.000 0.765
Pm: 0.328 0.328 0.411
Pm: 0.330 0.330 0.927
Pm: 0.670 0.670 0.073
Pm: 0.672 0.672 0.589
In: 0.500 0.500 0.500
Ge: 0.165 0.165 0.827
Ge: 0.835 0.835 0.173
Se: 0.167 0.167 0.329
Se: 0.500 0.500 0.000
Se: 0.833 0.833 0.671

---

(6)
Computed, not measured: a relaxed structure of As2PbAu at the GGA-PBE level of DFT.

Properties
formation enthalpy at 0 K = 73 kJ/mol of formula units
crystal system = orthorhombic
raw total energy = -0.2854 Ry per atom
DOS(E_F) = 1.65 states/eV/cell
space group = Imm2, No. 44

Lattice parameters (Å, degrees): 5.851 5.851 5.851 144.91 123.57 68.21
Sites, in units of the cell vectors:
As: 0.000 0.000 0.000
As: 0.812 0.312 0.500
Pb: 0.323 0.823 0.500
Au: 0.582 0.582 0.000